## PrY7Tm2 (PBE)

Data for PrY7Tm2 after structural relaxation.

Calculated values
The value obtained for the density is 5.689 g cm⁻³. For the energy above the most stable polymorph in this dataset, the calculation gives 0.0 meV per atom. As for the uncorrected energy: -58.7 eV for the cell shown. Its space-group type is P-1, No. 2. The calculation puts the formation energy at 2.4 kJ/mol of atoms.

Cell lengths 6.1788, 7.1448, 7.9737 Å; angles 103.01, 97.31, 106.75 degrees
Last column: nearest neighbours and their distance in Å.
Fractional positions:
Pr 0.0000 0.0000 0.0000  10 Y 3.56-3.58, 2 Tm 3.57
Y 0.0000 0.5000 0.0000  4 Tm 3.56-3.57, 6 Y 3.56-3.58, 2 Pr 3.57
Y 0.2003 0.8997 0.3996  3 Tm 3.56-3.57, 8 Y 3.56-3.58, 1 Pr 3.57
Y 0.2021 0.4010 0.4009  9 Y 3.54-3.58, 2 Tm 3.56, 1 Pr 3.58
Y 0.3992 0.7992 0.8001  7 Y 3.56-3.58, 2 Pr 3.56-3.57, 3 Tm 3.56-3.58
Y 0.6008 0.2008 0.1999  7 Y 3.56-3.58, 2 Pr 3.56-3.57, 3 Tm 3.56-3.58
Y 0.7979 0.5990 0.5991  9 Y 3.54-3.58, 2 Tm 3.56, 1 Pr 3.58
Y 0.7997 0.1003 0.6004  3 Tm 3.56-3.57, 8 Y 3.56-3.58, 1 Pr 3.57
Tm 0.4001 0.3007 0.8001  10 Y 3.56-3.58, 1 Tm 3.56, 1 Pr 3.57
Tm 0.5999 0.6993 0.1999  10 Y 3.56-3.58, 1 Tm 3.56, 1 Pr 3.57